# 1
Density functional theory data (PBE) for a relaxed structure of Na4Zn.

Cell and atoms, written as POSCAR:
```
Na4Zn
1.0
0.0000 2.6155 11.3608
2.6040 0.0000 11.3608
2.6040 2.6155 0.0000
Na Zn
4 1
Cartesian
2.6040 2.6155 1.7792
2.6040 2.6155 6.9938
2.6040 2.6155 15.7279
2.6040 2.6155 20.9424
2.6040 2.6155 11.3608
```

Its density is 1.69 g/cm3. The space-group type is Fmmm. For the formation enthalpy at 0 K, the calculation gives 24.6 kJ/mol of formula units. For the energy above the most stable polymorph in this dataset, the calculation gives 0.0000 eV/atom.

=====

# 2
Density functional theory data (PBE) for a relaxed structure of Cr3C.

Cell and atoms, written as POSCAR:
```
Cr3C
1.0
-1.5673 1.5673 4.0171
1.5673 -1.5673 4.0171
1.5673 1.5673 -4.0171
Cr C
3 1
Cartesian
0.0000 0.0000 0.0000
1.5673 0.0000 2.0086
0.0000 1.5673 2.0086
0.0000 0.0000 4.0171
```

Its density is 7.07 g/cm3. The space-group type is I4/mmm. For the formation enthalpy at 0 K, the calculation gives 228.5 kJ/mol of formula units. For the energy above the most stable polymorph in this dataset, the calculation gives 0.6853 eV/atom.

=====

# 3
Density functional theory data (PBE) for a relaxed structure of Tl5AgBr2Cl4.

Cell and atoms, written as POSCAR:
```
Tl5AgBr2Cl4
1.0
9.5414 0.0000 0.0000
0.0000 5.7344 4.0095
0.0000 -5.7344 4.0095
Tl Ag Br Cl
5 1 2 4
Cartesian
0.0000 0.0000 0.0000
2.5534 -2.2608 3.5249
2.5534 2.2608 3.5249
6.9880 -2.2608 3.5249
6.9880 2.2608 3.5249
4.7707 0.0000 7.6890
0.0000 -2.3979 5.7437
0.0000 2.3979 5.7437
2.7808 0.0000 1.3783
4.7707 -1.9696 5.9574
4.7707 1.9696 5.9574
6.7606 0.0000 1.3783
```

Its density is 5.42 g/cm3. The raw formation energy is -19.28 kcal/mol of atoms. The space-group type is Amm2.

=====

# 4
Density functional theory data (PBE) for a relaxed structure of LiZn2AgBr6.

Cell and atoms, written as POSCAR:
```
LiZn2AgBr6
1.0
7.0549 -6.7279 0.0000
7.0549 6.7279 0.0000
-2.7397 0.0000 6.5346
Li Zn Ag Br
2 4 2 12
Cartesian
5.0001 4.0119 4.9010
6.3700 -4.0119 1.6337
3.4966 1.0851 1.6122
2.1268 -1.0851 4.8795
9.2433 1.0851 1.6551
7.8734 -1.0851 4.9224
6.3700 4.2494 1.6337
5.0001 -4.2494 4.9010
1.2292 1.1474 0.7548
4.0599 3.2395 2.6370
-0.1407 -1.1474 4.0221
2.4489 0.8407 6.3663
8.6800 3.2395 0.6303
3.8188 -0.8407 3.0990
7.5513 0.8407 3.4356
2.6901 -3.2395 5.9044
8.9211 -0.8407 0.1683
11.5108 1.1474 2.5125
7.3102 -3.2395 3.8976
10.1409 -1.1474 5.7799
```

Its density is 3.88 g/cm3. The raw formation energy is -20.26 kcal/mol of atoms. The space-group type is C2/c.

=====

# 5
Density functional theory data (PBE) for a relaxed structure of Li2Mg2Cu15.

Cell and atoms, written as POSCAR:
```
Li2Mg2Cu15
1.0
4.2046 2.4275 4.1874
-4.2046 2.4275 4.1874
0.0000 -4.8550 4.1874
Li Mg Cu
2 2 15
Cartesian
0.0000 0.0000 1.2263
0.0000 0.0000 11.3360
0.0000 0.0000 4.3842
0.0000 0.0000 8.1781
-4.2046 0.0000 6.2811
-1.3354 -2.5420 4.1874
-2.1023 1.2138 2.0937
-2.8692 0.1145 4.1874
-2.0734 -1.1971 6.1980
1.3354 -2.5420 4.1874
-1.5338 2.4275 4.1874
0.0000 -2.3942 6.3642
-2.0734 1.1971 6.3642
2.1023 1.2138 2.0937
2.0734 -1.1971 6.1980
0.0000 2.3942 6.1980
2.8692 0.1145 4.1874
1.5338 2.4275 4.1874
2.0734 1.1971 6.3642
```

Its density is 6.58 g/cm3. The space-group type is R-3m. For the formation enthalpy at 0 K, the calculation gives -74.2 kJ/mol of formula units.

=====

# 6
Density functional theory data (PBE) for a relaxed structure of Y3Ho2ThBi6.

Cell and atoms, written as POSCAR:
```
Y3Ho2ThBi6
1.0
3.8960 -6.7425 0.0000
3.8960 6.7425 0.0000
-2.6037 0.0000 7.3448
Y Ho Th Bi
3 2 1 6
Cartesian
0.0000 0.0000 0.0000
3.8960 2.2154 0.0000
3.8960 -2.2154 0.0000
2.5941 4.4862 3.6724
2.5941 -4.4862 3.6724
2.5941 0.0000 3.6724
1.2761 2.2818 1.8186
-0.0482 0.0000 5.5048
1.2761 -2.2818 1.8186
3.9121 2.2818 5.5262
5.2364 0.0000 1.8400
3.9121 -2.2818 5.5262
```

Its density is 8.96 g/cm3. The space-group type is C2/m. For the formation enthalpy at 0 K, the calculation gives -958.6 kJ/mol of formula units.